This record from Alexandria via LeMat-Bulk describes an optimized crystal structure of CaCe2Zn2Ga2. The functional is PBE.

abc: 4.378 4.378 9.599
angles: 76.82 76.82 60.00
Element x y z (fractional)
Zn1 0.592 0.592 0.225
Zn2 0.408 0.408 0.775
Ca1 0.000 0.000 0.000
Ga1 0.259 0.259 0.222
Ga2 0.741 0.741 0.778
Ce1 0.858 0.858 0.425
Ce2 0.142 0.142 0.575

Results
- volume (A^3/atom) = 21.96
- uncorrected energy (eV/atom) = -3.578